#A
FeI2BrO | PBE+U | relaxed

DOS(E_F)	5.45	states/eV/cell

Cell and atoms, written as CIF:
```
data_FeI2BrO
_symmetry_space_group_name_H-M 'P 4/m m m'
_symmetry_Int_Tables_number 123
_symmetry_space_group_name_Hall '-P 4 2'
_cell_length_a 6.0566
_cell_length_b 6.0566
_cell_length_c 3.6067
_cell_angle_alpha 90.00
_cell_angle_beta 90.00
_cell_angle_gamma 90.00
loop_
_atom_site_label
_atom_site_type_symbol
_atom_site_fract_x
_atom_site_fract_y
_atom_site_fract_z
Fe1 Fe 0.0000 0.0000 0.0000
I1 I 0.0000 0.5000 0.0000
Br1 Br 0.5000 0.5000 0.5000
O1 O 0.0000 0.0000 0.5000
```

#B
FeI2BrO | PBE+U | relaxed

DOS(E_F)	4.45	states/eV/cell

Cell and atoms, written as CIF:
```
data_FeI2BrO
_symmetry_space_group_name_H-M 'P 4/m m m'
_symmetry_Int_Tables_number 123
_symmetry_space_group_name_Hall '-P 4 2'
_cell_length_a 6.0300
_cell_length_b 6.0300
_cell_length_c 3.9983
_cell_angle_alpha 90.00
_cell_angle_beta 90.00
_cell_angle_gamma 90.00
loop_
_atom_site_label
_atom_site_type_symbol
_atom_site_fract_x
_atom_site_fract_y
_atom_site_fract_z
Fe1 Fe 0.0000 0.0000 0.0000
I1 I 0.0000 0.5000 0.5000
Br1 Br 0.5000 0.5000 0.5000
O1 O 0.5000 0.5000 0.0000
```

Stability, lowest: #B